First-principles (PBE) data for an optimized crystal structure of Mg2FeRe, as listed in Alexandria via LeMat-Bulk.

Cell lengths 2.6683, 2.6683, 8.7322 Å; angles 90.00, 90.00, 90.00 degrees
Closest atoms and distances in Å follow each position.
Sites, in units of the cell vectors:
Fe (0.5000, 0.5000, 0.7500)  4 Fe 2.67, 8 Mg 2.81
Re (0.5000, 0.5000, 0.2500)  4 Re 2.67, 8 Mg 2.96
Mg (0.0000, 0.0000, 0.5115)  4 Mg 2.67, 4 Fe 2.81, 4 Re 2.96
Mg (0.0000, 0.0000, 0.9885)  4 Mg 2.67, 4 Fe 2.81, 4 Re 2.96

The formation energy from the elements comes out at 0.316 eV/atom. Its energy above the most stable polymorph in this dataset is 0.761 eV/f.u. Its density of states at the Fermi level is 2.67 states/eV per cell. The symmetry is P4/mmm, No. 123.